No. 1
First-principles (meta-GGA SCAN) data for a crystal of Mn2TcRhPb relaxed with PBEsol, as listed in Alexandria.

Fermi-level density of states = 3.93 states/eV/cell
E_form = 40.42 kcal/mol of atoms
ρ = 7.4 Mg/m³
Calculated total energy = -34.47 eV/atom

abc: 4.820 4.820 5.002
angles: 90.00 90.00 90.00
Each line ends with the local moment (μB).
Element x y z (fractional)
Mn 0.000 0.500 0.000  4.10
Mn 0.500 0.000 0.000  4.10
Pb 0.000 0.000 0.000  -0.03
Tc 0.000 0.000 0.500  2.79
Rh 0.500 0.500 0.500  1.22



No. 2
First-principles (meta-GGA SCAN) data for a crystal of MnZn2RhPb relaxed with PBEsol, as listed in Alexandria.

Fermi-level density of states = 2.38 states/eV/cell
E_form = 24.32 kcal/mol of atoms
ρ = 6.8 Mg/m³
Calculated total energy = -29.91 eV/atom

abc: 4.914 4.914 5.030
angles: 90.00 90.00 90.00
Each line ends with the local moment (μB).
Element x y z (fractional)
Pb 0.000 0.000 0.000  0.02
Rh 0.000 0.000 0.500  0.12
Mn 0.500 0.500 0.500  4.67
Zn 0.500 0.000 0.000  0.00
Zn 0.000 0.500 0.000  0.00



No. 3
First-principles (meta-GGA SCAN) data for a crystal of MnRuPb2 relaxed with PBEsol, as listed in Alexandria.

Fermi-level density of states = 2.04 states/eV/cell
E_form = 9.15 kcal/mol of atoms
ρ = 12.6 Mg/m³
Calculated total energy = -50.76 eV/atom

abc: 4.726 4.731 4.731
angles: 60.18 60.04 60.04
Each line ends with the local moment (μB).
Element x y z (fractional)
Mn 0.000 0.500 0.500  4.07
Ru 0.500 0.000 0.000  0.60
Pb 0.750 0.250 0.250  -0.05
Pb 0.250 0.750 0.750  -0.05



No. 4
First-principles (meta-GGA SCAN) data for a crystal of MnSb6Pb4S14 relaxed with PBEsol, as listed in Alexandria.

ρ = 5.8 Mg/m³
Calculated total energy = -27.62 eV/atom

abc: 3.954 15.696 18.963
angles: 90.00 90.00 92.45
Each line ends with the local moment (μB).
Element x y z (fractional)
S 0.103 0.053 0.228  0.00
S 0.471 0.415 0.395  0.00
S 0.032 0.095 0.046  0.03
S 0.074 0.818 0.338  0.00
S 0.629 0.725 0.201  0.01
S 0.554 0.288 0.005  0.00
S 0.554 0.788 0.495  0.00
S 0.371 0.775 0.701  0.01
S 0.074 0.318 0.162  0.00
S 0.629 0.225 0.299  0.01
S 0.926 0.182 0.662  0.00
S 0.414 0.994 0.602  0.01
S 0.926 0.682 0.838  0.00
S 0.529 0.085 0.895  0.00
S 0.446 0.712 0.995  0.00
S 0.414 0.494 0.898  0.01
S 0.586 0.006 0.398  0.01
S 0.586 0.506 0.102  0.01
S 0.968 0.905 0.954  0.03
S 0.371 0.275 0.799  0.01
S 0.471 0.915 0.105  0.00
S 0.968 0.405 0.546  0.03
S 0.897 0.947 0.772  0.00
S 0.529 0.585 0.605  0.00
S 0.032 0.595 0.454  0.03
S 0.897 0.447 0.728  0.00
S 0.103 0.553 0.272  0.00
S 0.446 0.212 0.505  0.00
Sb 0.144 0.129 0.342  0.00
Sb 0.856 0.871 0.658  0.00
Sb 0.867 0.101 0.550  0.01
Sb 0.856 0.371 0.842  0.00
Sb 0.133 0.399 0.050  0.01
Sb 0.905 0.814 0.062  0.02
Sb 0.133 0.899 0.450  0.01
Sb 0.144 0.629 0.158  0.00
Sb 0.905 0.314 0.438  0.02
Sb 0.095 0.686 0.562  0.02
Sb 0.867 0.601 0.950  0.01
Sb 0.095 0.186 0.938  0.02
Mn 0.500 0.500 0.500  4.34
Mn 0.500 0.000 0.000  4.34
Pb 0.450 0.317 0.641  0.02
Pb 0.417 0.575 0.758  0.01
Pb 0.417 0.075 0.742  0.01
Pb 0.583 0.925 0.258  0.01
Pb 0.583 0.425 0.242  0.01
Pb 0.450 0.817 0.859  0.02
Pb 0.550 0.683 0.359  0.02
Pb 0.550 0.183 0.141  0.02